No. 1
The following is a DFT calculation (meta-GGA SCAN) of a PBEsol-optimized structure of Tl2CrNiPd.

For the formation energy, the calculation gives 610 meV per atom.

It has space group P4/mmm (No. 123), with a = 4.781 Å, b = 4.781 Å, c = 4.763 Å, α = 90.00°, β = 90.00° and γ = 90.00°. The asymmetric unit holds Tl at (0.000, 0.500, 0.000), Cr at (0.000, 0.000, 0.500), Ni at (0.500, 0.500, 0.000) and Pd at (0.500, 0.500, 0.500).

---

No. 2
The following is a DFT calculation (meta-GGA SCAN) of a PBEsol-optimized structure of CrNiPt2.

For the formation energy, the calculation gives -221 meV per atom.

It has space group Pmm2 (No. 25), with a = 2.658 Å, b = 3.676 Å, c = 5.329 Å, α = 90.00°, β = 90.00° and γ = 90.00°. The asymmetric unit holds Cr at (0.000, 0.000, 0.000), Ni at (0.500, 0.500, 0.230), Pt at (0.000, 0.000, 0.467) and Pt at (0.500, 0.500, 0.761).

---

No. 3
The following is a DFT calculation (meta-GGA SCAN) of a PBEsol-optimized structure of CrNiPt2.

For the formation energy, the calculation gives -332 meV per atom.

It has space group Pmmm (No. 47), with a = 2.657 Å, b = 3.660 Å, c = 5.324 Å, α = 90.00°, β = 90.00° and γ = 90.00°. The asymmetric unit holds Cr at (0.000, 0.000, 0.000), Ni at (0.000, 0.000, 0.500) and Pt at (0.500, 0.500, 0.249).

---

No. 4
The following is a DFT calculation (meta-GGA SCAN) of a PBEsol-optimized structure of CrNiPt2.

For the formation energy, the calculation gives -131 meV per atom.

It has space group R-3m (No. 166, hexagonal axes), with a = 2.6675 Å, b = 2.6675 Å, c = 25.3996 Å, α = 90.00°, β = 90.00° and γ = 120.00°. The asymmetric unit holds Cr at (0.0000, 0.0000, 0.0000), Ni at (0.0000, 0.0000, 0.5000) and Pt at (0.0000, 0.0000, 0.2507).

---

No. 5
The following is a DFT calculation (meta-GGA SCAN) of a PBEsol-optimized structure of CrNiPt2.

For the formation energy, the calculation gives -330 meV per atom.

It has space group Cmmm (No. 65), with a = 5.355 Å, b = 7.316 Å, c = 2.709 Å, α = 90.00°, β = 90.00° and γ = 90.00°. The asymmetric unit holds Cr at (0.000, 0.000, 0.000), Ni at (0.000, 0.500, 0.000) and Pt at (0.250, 0.250, 0.500).

---

No. 6
The following is a DFT calculation (meta-GGA SCAN) of a PBEsol-optimized structure of CrSiNi2Pt.

The calculation puts the formation energy from raw total energies at 55 kJ per mole of atoms.

It has space group P4/mmm (No. 123), with a = 4.076 Å, b = 4.076 Å, c = 4.331 Å, α = 90.00°, β = 90.00° and γ = 90.00°. The asymmetric unit holds Cr at (0.000, 0.000, 0.000), Si at (0.000, 0.000, 0.500), Ni at (0.000, 0.500, 0.500) and Pt at (0.500, 0.500, 0.000).

---

No. 7
The following is a DFT calculation (meta-GGA SCAN) of a PBEsol-optimized structure of RbCrNi2Rh.

For the formation energy, the calculation gives 2346 meV per atom.

It has space group P4/mmm (No. 123), with a = 4.458 Å, b = 4.458 Å, c = 4.746 Å, α = 90.00°, β = 90.00° and γ = 90.00°. The asymmetric unit holds Rb at (0.000, 0.000, 0.000), Cr at (0.500, 0.500, 0.500), Ni at (0.000, 0.500, 0.000) and Rh at (0.000, 0.000, 0.500).

---

No. 8
The following is a DFT calculation (meta-GGA SCAN) of a PBEsol-optimized structure of CrRe2Ni.

For the formation energy, the calculation gives 83 meV per atom.

It has space group F-43m (No. 216), with a = 5.940 Å, b = 5.940 Å, c = 5.940 Å, α = 90.00°, β = 90.00° and γ = 90.00°. The asymmetric unit holds Cr at (0.000, 0.000, 0.000), Re at (0.000, 0.000, 0.500), Re at (0.250, 0.250, 0.250) and Ni at (0.250, 0.250, 0.750).

---

No. 9
The following is a DFT calculation (meta-GGA SCAN) of a PBEsol-optimized structure of CrRe2Ni.

For the formation energy, the calculation gives 160 meV per atom.

It has space group Fm-3m (No. 225), with a = 5.886 Å, b = 5.886 Å, c = 5.886 Å, α = 90.00°, β = 90.00° and γ = 90.00°. The asymmetric unit holds Cr at (0.000, 0.000, 0.000), Re at (0.250, 0.250, 0.250) and Ni at (0.000, 0.000, 0.500).

---

No. 10
The following is a DFT calculation (meta-GGA SCAN) of a PBEsol-optimized structure of CrRe2Ni.

For the formation energy, the calculation gives -2 meV per atom.

It has space group P4/mmm (No. 123), with a = 3.737 Å, b = 3.737 Å, c = 3.640 Å, α = 90.00°, β = 90.00° and γ = 90.00°. The asymmetric unit holds Cr at (0.000, 0.000, 0.000), Re at (0.000, 0.500, 0.500) and Ni at (0.500, 0.500, 0.000).

---

No. 11
The following is a DFT calculation (meta-GGA SCAN) of a PBEsol-optimized structure of CrRe2Ni.

For the formation energy, the calculation gives 137 meV per atom.

It has space group C2/m (No. 12), with a = 8.545 Å, b = 2.658 Å, c = 4.639 Å, α = 90.00°, β = 99.85° and γ = 90.00°. The asymmetric unit holds Cr at (0.000, 0.000, 0.000), Re at (0.249, 0.000, 0.748) and Ni at (0.000, 0.500, 0.500).

---

No. 12
The following is a DFT calculation (meta-GGA SCAN) of a PBEsol-optimized structure of CrRe2Ni.

For the formation energy, the calculation gives 104 meV per atom.

It has space group Cm (No. 8), with a = 8.634 Å, b = 2.689 Å, c = 4.496 Å, α = 90.00°, β = 100.51° and γ = 90.00°. The asymmetric unit holds Cr at (0.000, 0.000, 0.000), Re at (0.005, 0.500, 0.521), Re at (0.248, 0.500, 0.246) and Ni at (0.254, 0.000, 0.760).

---

No. 13
The following is a DFT calculation (meta-GGA SCAN) of a PBEsol-optimized structure of CrRe2Ni.

For the formation energy, the calculation gives 14 meV per atom.

It has space group I-4m2 (No. 119), with a = 3.727 Å, b = 3.727 Å, c = 7.364 Å, α = 90.00°, β = 90.00° and γ = 90.00°. The asymmetric unit holds Cr at (0.000, 0.000, 0.000), Re at (0.000, 0.000, 0.500), Re at (0.000, 0.500, 0.250) and Ni at (0.000, 0.500, 0.750).

---

No. 14
The following is a DFT calculation (meta-GGA SCAN) of a PBEsol-optimized structure of CrNiRh2.

For the formation energy, the calculation gives 4 meV per atom.

It has space group Amm2 (No. 38), with a = 3.938 Å, b = 2.622 Å, c = 9.479 Å, α = 90.00°, β = 90.00° and γ = 90.00°. The asymmetric unit holds Cr at (0.000, 0.000, 0.000), Ni at (0.500, 0.000, 0.133), Rh at (0.000, 0.000, 0.735) and Rh at (0.500, 0.000, 0.399).

---

No. 15
The following is a DFT calculation (meta-GGA SCAN) of a PBEsol-optimized structure of CrNiRh2.

For the formation energy, the calculation gives -33 meV per atom.

It has space group Pmm2 (No. 25), with a = 2.597 Å, b = 3.639 Å, c = 5.168 Å, α = 90.00°, β = 90.00° and γ = 90.00°. The asymmetric unit holds Cr at (0.000, 0.000, 0.000), Ni at (0.500, 0.500, 0.227), Rh at (0.000, 0.000, 0.464) and Rh at (0.500, 0.500, 0.748).

---

No. 16
The following is a DFT calculation (meta-GGA SCAN) of a PBEsol-optimized structure of CrNiRh2.

For the formation energy, the calculation gives -44 meV per atom.

It has space group Cmmm (No. 65), with a = 5.243 Å, b = 7.100 Å, c = 2.625 Å, α = 90.00°, β = 90.00° and γ = 90.00°. The asymmetric unit holds Cr at (0.000, 0.000, 0.000), Ni at (0.000, 0.500, 0.000) and Rh at (0.250, 0.250, 0.500).

---

No. 17
The following is a DFT calculation (meta-GGA SCAN) of a PBEsol-optimized structure of CrNiRh2.

For the formation energy, the calculation gives -37 meV per atom.

It has space group C2/m (No. 12), with a = 8.462 Å, b = 2.598 Å, c = 4.530 Å, α = 90.00°, β = 100.10° and γ = 90.00°. The asymmetric unit holds Cr at (0.000, 0.000, 0.000), Ni at (0.000, 0.500, 0.500) and Rh at (0.247, 0.500, 0.249).

---

No. 18
The following is a DFT calculation (meta-GGA SCAN) of a PBEsol-optimized structure of CrNiRh2.

For the formation energy, the calculation gives -2 meV per atom.

It has space group R-3m (No. 166, hexagonal axes), with a = 2.6104 Å, b = 2.6104 Å, c = 24.9989 Å, α = 90.00°, β = 90.00° and γ = 120.00°. The asymmetric unit holds Cr at (0.0000, 0.0000, 0.0000), Ni at (0.0000, 0.0000, 0.5000) and Rh at (0.0000, 0.0000, 0.2518).

---

No. 19
The following is a DFT calculation (meta-GGA SCAN) of a PBEsol-optimized structure of CrNiRh2.

For the formation energy, the calculation gives -21 meV per atom.

It has space group Cm (No. 8), with a = 8.602 Å, b = 2.610 Å, c = 4.430 Å, α = 90.00°, β = 100.60° and γ = 90.00°. The asymmetric unit holds Cr at (0.000, 0.000, 0.000), Ni at (0.255, 0.000, 0.748), Rh at (0.003, 0.500, 0.514) and Rh at (0.250, 0.500, 0.233).

---

No. 20
The following is a DFT calculation (meta-GGA SCAN) of a PBEsol-optimized structure of CrNiRh2.

For the formation energy, the calculation gives -89 meV per atom.

It has space group Pmmm (No. 47), with a = 2.615 Å, b = 3.552 Å, c = 5.252 Å, α = 90.00°, β = 90.00° and γ = 90.00°. The asymmetric unit holds Cr at (0.000, 0.000, 0.000), Ni at (0.000, 0.000, 0.500) and Rh at (0.500, 0.500, 0.250).

---

No. 21
The following is a DFT calculation (meta-GGA SCAN) of a PBEsol-optimized structure of CrNiRh2.

For the formation energy, the calculation gives -77 meV per atom.

It has space group I-4m2 (No. 119), with a = 3.616 Å, b = 3.616 Å, c = 7.519 Å, α = 90.00°, β = 90.00° and γ = 90.00°. The asymmetric unit holds Cr at (0.000, 0.000, 0.000), Ni at (0.000, 0.500, 0.750), Rh at (0.000, 0.000, 0.500) and Rh at (0.000, 0.500, 0.250).

---

No. 22
The following is a DFT calculation (meta-GGA SCAN) of a PBEsol-optimized structure of Cr2NiRu.

For the formation energy, the calculation gives 50 meV per atom.

It has space group P4/mmm (No. 123), with a = 3.574 Å, b = 3.574 Å, c = 3.602 Å, α = 90.00°, β = 90.00° and γ = 90.00°. The asymmetric unit holds Cr at (0.000, 0.500, 0.000), Ni at (0.000, 0.000, 0.500) and Ru at (0.500, 0.500, 0.500).

---

No. 23
The following is a DFT calculation (meta-GGA SCAN) of a PBEsol-optimized structure of CrNiRu2.

For the formation energy, the calculation gives 324 meV per atom.

It has space group P2/m (No. 10), with a = 2.546 Å, b = 4.196 Å, c = 4.649 Å, α = 90.00°, β = 93.66° and γ = 90.00°. The asymmetric unit holds Cr at (0.000, 0.000, 0.000), Ni at (0.500, 0.000, 0.500) and Ru at (0.264, 0.500, 0.742).

---

No. 24
The following is a DFT calculation (meta-GGA SCAN) of a PBEsol-optimized structure of Cr2NiRu.

For the formation energy, the calculation gives 49 meV per atom.

It has space group I4/mmm (No. 139), with a = 3.587 Å, b = 3.587 Å, c = 7.165 Å, α = 90.00°, β = 90.00° and γ = 90.00°. The asymmetric unit holds Cr at (0.000, 0.500, 0.250), Ni at (0.000, 0.000, 0.000) and Ru at (0.000, 0.000, 0.500).

---

No. 25
The following is a DFT calculation (meta-GGA SCAN) of a PBEsol-optimized structure of Cr2NiRu.

For the formation energy, the calculation gives 48 meV per atom.

It has space group P4/mmm (No. 123), with a = 2.897 Å, b = 2.897 Å, c = 5.751 Å, α = 90.00°, β = 90.00° and γ = 90.00°. The asymmetric unit holds Cr at (0.000, 0.000, 0.236), Ni at (0.500, 0.500, 0.000) and Ru at (0.500, 0.500, 0.500).

---

No. 26
The following is a DFT calculation (meta-GGA SCAN) of a PBEsol-optimized structure of CrNiRu2.

For the formation energy, the calculation gives 97 meV per atom.

It has space group I4/mmm (No. 139), with a = 3.726 Å, b = 3.726 Å, c = 6.985 Å, α = 90.00°, β = 90.00° and γ = 90.00°. The asymmetric unit holds Cr at (0.000, 0.000, 0.000), Ni at (0.000, 0.000, 0.500) and Ru at (0.000, 0.500, 0.250).

---

No. 27
The following is a DFT calculation (meta-GGA SCAN) of a PBEsol-optimized structure of CrNiRu.

For the formation energy, the calculation gives 114 meV per atom.

It has space group Imm2 (No. 44), with a = 2.531 Å, b = 3.647 Å, c = 7.607 Å, α = 90.00°, β = 90.00° and γ = 90.00°. The asymmetric unit holds Cr at (0.000, 0.000, 0.000), Ni at (0.000, 0.000, 0.665) and Ru at (0.000, 0.000, 0.332).

---

No. 28
The following is a DFT calculation (meta-GGA SCAN) of a PBEsol-optimized structure of Cr2NiRu.

For the formation energy, the calculation gives 171 meV per atom.

It has space group Cm (No. 8), with a = 8.331 Å, b = 2.588 Å, c = 4.403 Å, α = 90.00°, β = 101.01° and γ = 90.00°. The asymmetric unit holds Cr at (0.000, 0.000, 0.000), Cr at (0.248, 0.500, 0.269), Ni at (0.253, 0.000, 0.783) and Ru at (0.499, 0.000, 0.507).

---

No. 29
The following is a DFT calculation (meta-GGA SCAN) of a PBEsol-optimized structure of CrNiRu2.

For the formation energy, the calculation gives 113 meV per atom.

It has space group Pmm2 (No. 25), with a = 2.599 Å, b = 3.675 Å, c = 5.094 Å, α = 90.00°, β = 90.00° and γ = 90.00°. The asymmetric unit holds Cr at (0.000, 0.000, 0.000), Ni at (0.500, 0.500, 0.231), Ru at (0.000, 0.000, 0.476) and Ru at (0.500, 0.500, 0.739).

---

No. 30
The following is a DFT calculation (meta-GGA SCAN) of a PBEsol-optimized structure of CrNiRu2.

For the formation energy, the calculation gives 70 meV per atom.

It has space group I-4m2 (No. 119), with a = 3.618 Å, b = 3.618 Å, c = 7.430 Å, α = 90.00°, β = 90.00° and γ = 90.00°. The asymmetric unit holds Cr at (0.000, 0.000, 0.000), Ni at (0.000, 0.500, 0.750), Ru at (0.000, 0.000, 0.500) and Ru at (0.000, 0.500, 0.250).

---

Q: Which energy values were calculated for the entries above? A: -41.800 -43.957 -44.068 -43.867 -44.066 -25.620 -18.703 -44.105 -44.028 -44.190 -44.052 -44.084 -44.174 -25.521 -25.559 -25.570 -25.562 -25.527 -25.546 -25.614 -25.602 -21.892 -25.729 -21.893 -21.894 -25.956 -23.014 -21.771 -25.940 -25.983, in eV per atom.
Q: Which D(E_F) values were calculated for the entries above? A: 3.716 3.475 3.749 10.540 5.870 3.650 3.288 13.763 17.472 2.671 8.114 7.722 5.337 8.297 3.738 9.092 7.703 11.651 8.354 3.768 10.348 3.194 5.279 5.539 2.996 7.654 7.028 8.959 4.581 7.810, in states/eV per cell.